[1]
# PBE Li2FeIr, optimized geometry
# Energy of formation from the pure elements ... 0.3 eV per formula unit
# Theoretical density ... 7.47 g/cm3
# VASP energy ... -41.71 eV per cell
# Crystal system ... orthorhombic
# Spin magnetization ... 6.70 Bohr magnetons per cell
data_Li2FeIr
_cell_length_a 2.816
_cell_length_b 4.499
_cell_length_c 9.190
_cell_angle_alpha 90.00
_cell_angle_beta 90.00
_cell_angle_gamma 90.00
_symmetry_space_group_name_H-M 'C m m 2'
_symmetry_Int_Tables_number 35
_symmetry_space_group_name_Hall 'C 2 -2'
loop_
_atom_site_label
_atom_site_fract_x
_atom_site_fract_y
_atom_site_fract_z
_atom_site_occupancy
Li1 0.000 0.000 0.000 1
Li2 0.000 0.500 0.289 1
Fe1 0.000 0.500 0.757 1
Ir1 0.000 0.000 0.525 1



[2]
# PBE Li2FeIr, optimized geometry
# Energy of formation from the pure elements ... -0.2 eV per formula unit
# Theoretical density ... 8.32 g/cm3
# VASP energy ... -21.31 eV per cell
# Crystal system ... orthorhombic
# Spin magnetization ... 2.62 Bohr magnetons per cell
data_Li2FeIr
_cell_length_a 2.771
_cell_length_b 4.250
_cell_length_c 4.438
_cell_angle_alpha 90.00
_cell_angle_beta 90.00
_cell_angle_gamma 90.00
_symmetry_space_group_name_H-M 'P m m m'
_symmetry_Int_Tables_number 47
_symmetry_space_group_name_Hall '-P 2 2'
loop_
_atom_site_label
_atom_site_fract_x
_atom_site_fract_y
_atom_site_fract_z
_atom_site_occupancy
Li1 0.000 0.000 0.000 1
Li2 0.500 0.500 0.000 1
Fe1 0.000 0.500 0.500 1
Ir1 0.500 0.000 0.500 1



[3]
# PBE Li2Fe2Ir, optimized geometry
# Energy of formation from the pure elements ... 2.3 eV per formula unit
# Theoretical density ... 8.84 g/cm3
# Offset from the most stable computed form ... 0.000 eV per atom
# VASP energy ... -54.68 eV per cell
# Crystal system ... tetragonal
# Spin magnetization ... 11.32 Bohr magnetons per cell
data_Li2Fe2Ir
_cell_length_a 3.402
_cell_length_b 3.402
_cell_length_c 10.318
_cell_angle_alpha 90.00
_cell_angle_beta 90.00
_cell_angle_gamma 90.00
_symmetry_space_group_name_H-M 'I 4/m m m'
_symmetry_Int_Tables_number 139
_symmetry_space_group_name_Hall '-I 4 2'
loop_
_atom_site_label
_atom_site_fract_x
_atom_site_fract_y
_atom_site_fract_z
_atom_site_occupancy
Li1 0.000 0.000 0.089 1
Fe1 0.000 0.500 0.250 1
Ir1 0.000 0.000 0.500 1



[4]
# PBE LiFeIr4, optimized geometry
# Energy of formation from the pure elements ... 1.7 eV per formula unit
# Theoretical density ... 14.31 g/cm3
# VASP energy ... -176.46 eV per cell
# Crystal system ... cubic
# Spin magnetization ... 21.76 Bohr magnetons per cell
data_LiFeIr4
_cell_length_a 7.282
_cell_length_b 7.282
_cell_length_c 7.282
_cell_angle_alpha 90.00
_cell_angle_beta 90.00
_cell_angle_gamma 90.00
_symmetry_space_group_name_H-M 'F -4 3 m'
_symmetry_Int_Tables_number 216
_symmetry_space_group_name_Hall 'F -4 2 3'
loop_
_atom_site_label
_atom_site_fract_x
_atom_site_fract_y
_atom_site_fract_z
_atom_site_occupancy
Li1 0.000 0.000 0.000 1
Fe1 0.250 0.250 0.750 1
Ir1 0.125 0.125 0.375 1